A relaxed structure of CsRb2ZnSn. Source: Alexandria via LeMat-Bulk, functional PBE-GGA.

The structure in POSCAR format:
```
CsRb2ZnSn
1.0
7.416 0.000 0.000
0.000 7.416 0.000
0.000 0.000 5.282
Cs Rb Zn Sn
1 2 1 1
Direct
0.000 0.000 0.000
0.000 0.500 0.500
0.500 0.000 0.500
0.500 0.500 0.000
0.500 0.500 0.500
```

Summary:
As for the density of states at the Fermi level: 0.565 states/eV per atom. The calculation puts the total energy at -0.11353 Ry per atom. The calculation puts the total magnetization at 0.01 μB per cell. The calculation puts the volume at 290.5 Å³ per cell.